1.
The following is a DFT calculation (PBE) of Fe2CuMoPb after structural relaxation.

Geometry as POSCAR:
```
Fe2CuMoPb
1.0
-2.162 3.631 -1.288
-3.368 -0.870 3.199
2.221 2.381 2.986
Pb Mo Fe Cu
1 1 2 1
Direct
0.000 0.500 0.000
0.500 0.500 0.500
0.000 0.000 0.500
0.500 0.000 0.000
0.000 0.000 0.000
```

Summary:
energy relative to the elements = 1.406 eV per atom
symmetry = No. 123
N(E_F) = 5.2 states/eV/f.u.

=====

2.
The following is a DFT calculation (PBE) of Y3Ho6Tm2Mg after structural relaxation.

Geometry as POSCAR:
```
Y3Ho6Tm2Mg
1.0
-4.557 1.185 3.876
5.152 -2.549 2.038
4.155 10.820 -0.034
Y Ho Tm Mg
3 6 2 1
Direct
0.166 0.834 0.500
0.834 0.166 0.500
0.500 0.500 0.500
0.919 0.585 0.754
0.748 0.748 0.247
0.081 0.415 0.246
0.585 0.919 0.754
0.252 0.252 0.753
0.415 0.081 0.246
0.334 0.666 0.000
0.666 0.334 0.000
0.000 0.000 0.000
```

Summary:
energy relative to the elements = 0.036 eV per atom
symmetry = No. 12
N(E_F) = 17.5 states/eV/f.u.

=====

3.
The following is a DFT calculation (PBE) of Cs3Na2LaBr9 after structural relaxation.

Geometry as POSCAR:
```
Cs3Na2LaBr9
1.0
-7.572 -2.729 1.250
6.341 -3.949 3.248
-0.712 5.902 8.566
Cs Na La Br
3 2 1 9
Direct
0.333 0.667 0.686
0.000 0.000 0.000
0.667 0.333 0.314
0.333 0.667 0.166
0.667 0.333 0.834
0.000 0.000 0.500
0.833 0.167 0.665
0.833 0.666 0.665
0.334 0.167 0.665
0.666 0.833 0.335
0.167 0.334 0.335
0.167 0.833 0.335
0.500 0.000 0.000
0.000 0.500 0.000
0.500 0.500 0.000
```

Summary:
symmetry = No. 164
N(E_F) = 16.0 states/eV/f.u.

=====

4.
The following is a DFT calculation (PBE) of Sr2UHgS6 after structural relaxation.

Geometry as POSCAR:
```
Sr2UHgS6
1.0
-3.866 -5.240 -3.019
0.916 -6.804 2.103
-5.219 -3.299 3.871
Sr U Hg S
2 1 1 6
Direct
0.540 0.540 0.380
0.028 0.028 0.917
0.322 0.322 0.035
0.808 0.808 0.577
0.572 0.177 0.264
0.177 0.987 0.264
0.987 0.572 0.264
0.455 0.667 0.771
0.667 0.106 0.772
0.106 0.455 0.771
```

Summary:
symmetry = No. 146

=====

5.
The following is a DFT calculation (PBE) of ThZrN after structural relaxation.

Geometry as POSCAR:
```
ThZrN
1.0
5.863 0.000 0.000
0.000 3.449 0.000
0.000 -1.724 2.987
Zr Th N
1 1 1
Direct
0.780 0.667 0.333
0.248 0.333 0.667
0.972 0.000 0.000
```

Summary:
symmetry = No. 156
N(E_F) = 2.7 states/eV/f.u.

=====

6.
The following is a DFT calculation (PBE) of BaAl2 after structural relaxation.

Geometry as POSCAR:
```
BaAl2
1.0
6.310 1.723 -4.207
-6.369 4.430 -0.548
1.838 3.143 4.044
Ba Al
3 6
Direct
0.333 0.667 0.000
0.667 0.333 0.000
0.000 0.000 0.500
0.208 0.000 0.000
0.000 0.208 0.000
0.792 0.792 0.000
0.439 0.000 0.500
0.000 0.439 0.500
0.561 0.561 0.500
```

Summary:
energy relative to the elements = 0.220 eV per atom
symmetry = No. 189
N(E_F) = 1.6 states/eV/f.u.

=====

7.
The following is a DFT calculation (PBE) of CePm2Sm3Te6 after structural relaxation.

Geometry as POSCAR:
```
CePm2Sm3Te6
1.0
-3.159 -2.327 -2.073
-3.659 -2.089 7.922
-2.916 9.425 -1.387
Ce Pm Sm Te
1 2 3 6
Direct
0.500 0.000 0.000
0.834 0.668 0.667
0.166 0.332 0.333
0.500 0.500 0.000
0.832 0.166 0.665
0.168 0.834 0.335
0.333 0.918 0.666
0.667 0.584 0.333
0.667 0.082 0.334
0.999 0.252 0.998
0.001 0.748 0.002
0.333 0.416 0.667
```

Summary:
symmetry = No. 12
N(E_F) = 12.5 states/eV/f.u.

=====

8.
The following is a DFT calculation (PBE) of RbReNi after structural relaxation.

Geometry as POSCAR:
```
RbReNi
1.0
11.938 0.000 -0.002
0.313 4.219 0.000
-0.338 -2.094 3.660
Re Rb Ni
2 2 2
Direct
0.996 0.834 0.666
0.004 0.166 0.334
0.704 0.204 0.285
0.296 0.796 0.715
0.898 0.513 0.983
0.102 0.487 0.017
```

Summary:
energy relative to the elements = 0.533 eV per atom
symmetry = No. 2
N(E_F) = 2.4 states/eV/f.u.
excess energy over the best structure of this formula in the dataset = 0.0 meV per atom

=====

9.
The following is a DFT calculation (PBE) of Tb2HoIr2 after structural relaxation.

Geometry as POSCAR:
```
Tb2HoIr2
1.0
-1.591 1.306 -4.340
-3.363 -3.445 0.196
-6.551 6.647 4.403
Tb Ho Ir
4 2 4
Direct
0.750 0.250 0.999
0.250 0.750 0.667
0.250 0.750 0.001
0.750 0.250 0.333
0.750 0.250 0.665
0.250 0.750 0.335
0.250 0.250 0.495
0.750 0.750 0.162
0.250 0.250 0.838
0.750 0.750 0.505
```

Summary:
energy relative to the elements = -0.755 eV per atom
symmetry = No. 59
N(E_F) = 3.6 states/eV/f.u.
excess energy over the best structure of this formula in the dataset = 0.0 meV per atom

=====

10.
The following is a DFT calculation (PBE) of BeTe2Se after structural relaxation.

Geometry as POSCAR:
```
BeTe2Se
1.0
-1.797 0.037 -3.424
-3.638 -2.945 1.877
-3.608 2.939 1.925
Be Te Se
1 2 1
Direct
0.500 0.250 0.250
0.000 0.040 0.040
0.000 0.460 0.460
0.500 0.750 0.750
```

Summary:
symmetry = No. 65
N(E_F) = 2.9 states/eV/f.u.
excess energy over the best structure of this formula in the dataset = 166.2 meV per atom

=====

11.
The following is a DFT calculation (PBE) of LiTc2Cl after structural relaxation.

Geometry as POSCAR:
```
LiTc2Cl
1.0
3.149 0.000 0.000
0.000 3.149 0.000
0.000 0.000 6.229
Cl Li Tc
1 1 2
Direct
0.500 0.500 0.250
0.500 0.500 0.750
0.000 0.000 0.928
0.000 0.000 0.572
```

Summary:
symmetry = No. 123
N(E_F) = 4.1 states/eV/f.u.
excess energy over the best structure of this formula in the dataset = 824.4 meV per atom

=====

12.
The following is a DFT calculation (PBE) of Al5Si2Pd12 after structural relaxation.

Geometry as POSCAR:
```
Al5Si2Pd12
1.0
7.232 0.000 0.000
-3.616 6.148 0.680
0.000 -1.425 6.333
Al Si Pd
5 2 12
Direct
0.245 0.489 0.556
0.329 0.658 0.070
0.000 0.000 0.500
0.671 0.342 0.930
0.755 0.511 0.444
0.781 0.000 0.000
0.219 0.000 0.000
0.881 0.761 0.151
0.024 0.628 0.803
0.604 0.628 0.803
0.190 0.783 0.420
0.593 0.783 0.420
0.462 0.925 0.788
0.538 0.075 0.212
0.810 0.217 0.580
0.407 0.217 0.580
0.976 0.372 0.197
0.396 0.372 0.197
0.119 0.239 0.849
```

Summary:
symmetry = No. 12
N(E_F) = 8.3 states/eV/f.u.

=====

13.
The following is a DFT calculation (PBE) of PrNd2US8 after structural relaxation.

Geometry as POSCAR:
```
PrNd2US8
1.0
4.732 -0.058 0.009
0.077 6.720 -0.013
-0.018 0.021 9.214
Pr Nd U S
1 2 1 8
Direct
0.000 0.000 0.500
0.500 0.500 0.750
0.500 0.500 0.250
0.000 0.000 0.000
0.000 0.756 0.226
0.500 0.779 0.000
0.000 0.244 0.226
0.000 0.244 0.774
0.500 0.221 0.000
0.000 0.756 0.774
0.500 0.747 0.500
0.500 0.253 0.500
```

Summary:
symmetry = No. 10
N(E_F) = 3.4 states/eV/f.u.

=====

14.
The following is a DFT calculation (PBE) of PrSmAs2Pd5 after structural relaxation.

Geometry as POSCAR:
```
PrSmAs2Pd5
1.0
4.281 0.000 0.000
0.000 4.281 0.000
0.000 0.000 9.420
Pr Sm As Pd
1 1 2 5
Direct
0.000 0.000 0.500
0.000 0.000 0.000
0.500 0.500 0.137
0.500 0.500 0.863
0.000 0.500 0.274
0.500 0.000 0.274
0.000 0.500 0.726
0.500 0.000 0.726
0.500 0.500 0.500
```

Summary:
energy relative to the elements = -0.805 eV per atom
symmetry = No. 123
N(E_F) = 2.9 states/eV/f.u.

=====

15.
The following is a DFT calculation (PBE) of Tm5ThIn3 after structural relaxation.

Geometry as POSCAR:
```
Tm5ThIn3
1.0
6.638 0.000 0.000
0.000 9.288 0.000
0.000 -4.644 8.043
Tm Th In
10 2 6
Direct
0.000 0.667 0.333
0.500 0.333 0.667
0.000 0.333 0.667
0.500 0.667 0.333
0.750 0.673 0.673
0.750 0.000 0.327
0.750 0.327 0.000
0.250 0.327 0.327
0.250 0.000 0.673
0.250 0.673 0.000
0.000 0.000 0.000
0.500 0.000 0.000
0.750 0.344 0.344
0.750 0.000 0.656
0.750 0.656 0.000
0.250 0.656 0.656
0.250 0.000 0.344
0.250 0.344 0.000
```

Summary:
energy relative to the elements = -0.327 eV per atom
symmetry = No. 193
N(E_F) = 8.2 states/eV/f.u.

=====

16.
The following is a DFT calculation (PBE) of KZn2GeS4 after structural relaxation.

Geometry as POSCAR:
```
KZn2GeS4
1.0
-5.277 1.067 -2.766
-0.042 -5.684 -2.080
0.005 0.701 6.867
K Zn Ge S
1 2 1 4
Direct
0.001 0.001 0.002
0.750 0.250 0.500
0.250 0.750 0.500
0.500 0.500 0.999
0.562 0.562 0.704
0.439 0.857 0.296
0.857 0.439 0.296
0.142 0.142 0.704
```

Summary:
symmetry = No. 42
N(E_F) = 4.8 states/eV/f.u.

=====

17.
The following is a DFT calculation (PBE) of NaPrTmAl after structural relaxation.

Geometry as POSCAR:
```
NaPrTmAl
1.0
-1.233 4.421 -2.754
-2.938 -0.357 -4.460
-5.037 1.811 -0.039
Pr Na Tm Al
1 1 1 1
Direct
0.750 0.750 0.750
0.500 0.500 0.500
0.250 0.250 0.250
0.000 0.000 0.000
```

Summary:
energy relative to the elements = -0.034 eV per atom
symmetry = No. 216
N(E_F) = 4.1 states/eV/f.u.

=====

18.
The following is a DFT calculation (PBE) of Pb2C after structural relaxation.

Geometry as POSCAR:
```
Pb2C
1.0
1.828 -3.165 0.000
1.828 3.165 0.000
0.000 0.000 13.617
Pb C
4 2
Direct
0.333 0.667 0.102
0.667 0.333 0.602
0.333 0.667 0.398
0.667 0.333 0.898
0.000 0.000 0.000
0.000 0.000 0.500
```

Summary:
energy relative to the elements = 1.070 eV per atom
symmetry = No. 194
N(E_F) = 1.0 states/eV/f.u.
excess energy over the best structure of this formula in the dataset = 26.2 meV per atom

=====

19.
The following is a DFT calculation (PBE) of La3Er2Tl4 after structural relaxation.

Geometry as POSCAR:
```
La3Er2Tl4
1.0
5.440 0.000 0.000
2.720 4.677 0.597
0.000 -1.327 10.512
La Er Tl
3 2 4
Direct
0.333 0.334 0.421
0.000 0.000 0.000
0.667 0.666 0.579
0.334 0.332 0.781
0.666 0.668 0.219
0.667 0.666 0.898
0.000 0.001 0.340
0.000 0.999 0.660
0.333 0.334 0.102
```

Summary:
energy relative to the elements = -0.315 eV per atom
symmetry = No. 12
N(E_F) = 9.7 states/eV/f.u.
excess energy over the best structure of this formula in the dataset = 0.0 meV per atom

=====

20.
The following is a DFT calculation (PBE) of EuYMgSc after structural relaxation.

Geometry as POSCAR:
```
EuYMgSc
1.0
5.493 0.000 0.000
2.747 4.757 0.000
2.747 1.586 4.485
Eu Y Mg Sc
1 1 1 1
Direct
0.250 0.250 0.250
0.750 0.750 0.750
0.500 0.500 0.500
0.000 0.000 0.000
```

Summary:
energy relative to the elements = 0.082 eV per atom
symmetry = No. 216
N(E_F) = 3.4 states/eV/f.u.

=====

| no. | E_tot (Ry per atom) |
| --- | --- |
| 1 | -0.419 |
| 2 | -0.349 |
| 3 | -0.243 |
| 4 | -0.386 |
| 5 | -0.660 |
| 6 | -0.214 |
| 7 | -0.399 |
| 8 | -0.431 |
| 9 | -0.519 |
| 10 | -0.236 |
| 11 | -0.403 |
| 12 | -0.404 |
| 13 | -0.473 |
| 14 | -0.425 |
| 15 | -0.334 |
| 16 | -0.268 |
| 17 | -0.266 |
| 18 | -0.329 |
| 19 | -0.296 |
| 20 | -0.447 |